# 1
A crystal of CoRe2Hg relaxed with PBEsol, computed with SCAN.

Unit cell a=2.730 b=2.730 c=9.248 alpha=81.51 beta=81.51 gamma=60.00
Each line ends with the local moment (μB).
Element x y z (fractional)
Re 0.240 0.240 0.281  -0.02
Re 0.760 0.760 0.719  -0.02
Hg 0.000 0.000 0.000  -0.01
Co 0.500 0.500 0.500  1.44

Properties
Total moment in μB/f.u.: 1.35
Energy relative to the elements in meV per atom: 585.8


# 2
A crystal of CoReHg2 relaxed with PBEsol, computed with SCAN.

Unit cell a=2.737 b=4.730 c=5.810 alpha=114.02 beta=103.62 gamma=90.00
Each line ends with the local moment (μB).
Element x y z (fractional)
Re 0.463 0.463 0.925  0.12
Co 0.774 0.274 0.547  1.48
Hg 0.028 0.028 0.056  -0.01
Hg 0.236 0.736 0.472  -0.03

Properties
Total moment in μB/f.u.: 1.56
Distance to the lowest polymorph of the same formula in meV per atom: 0
Energy relative to the elements in meV per atom: 757.8


# 3
A crystal of CoReHg2 relaxed with PBEsol, computed with SCAN.

Unit cell a=4.019 b=4.019 c=4.911 alpha=114.15 beta=114.15 gamma=90.00
Each line ends with the local moment (μB).
Element x y z (fractional)
Co 0.000 0.000 0.000  1.94
Hg 0.750 0.250 0.500  0.00
Hg 0.250 0.750 0.500  0.00
Re 0.500 0.500 0.000  1.58

Properties
Total moment in μB/f.u.: 3.70
Distance to the lowest polymorph of the same formula in meV per atom: 208
Energy relative to the elements in meV per atom: 965.4


# 4
A crystal of CoRe2Hg relaxed with PBEsol, computed with SCAN.

Unit cell a=2.704 b=2.704 c=7.961 alpha=90.00 beta=90.00 gamma=90.00
Each line ends with the local moment (μB).
Element x y z (fractional)
Co 0.500 0.500 0.000  1.28
Hg 0.500 0.500 0.500  -0.02
Re 0.000 0.000 0.215  0.04
Re 0.000 0.000 0.785  0.04

Properties
Total moment in μB/f.u.: 1.32
Energy relative to the elements in meV per atom: 617.1


- What is the energy relative to the elements in the fourth record?
  617.1 meV per atom